VASP calculation (PBE with a Hubbard U) on crystalline TaVO at its relaxed geometry.

Results
mass density: 9.306 Mg/m³
M_tot: 2.5 μB per formula unit
E: -8.77 eV/atom

Cell and atoms, written as CIF:
```
data_TaVO
_cell_length_a 14.388
_cell_length_b 3.092
_cell_length_c 3.977
_cell_angle_alpha 90.00
_cell_angle_beta 90.00
_cell_angle_gamma 90.00
_space_group_name_H-M_alt 'P n m a'
_space_group_IT_number 62
_space_group_name_Hall '-P 2ac 2n'
loop_
_atom_site_label
_atom_site_type_symbol
_atom_site_fract_x
_atom_site_fract_y
_atom_site_fract_z
_atom_site_occupancy
Ta1 Ta 0.195 0.250 0.001 1
V1 V 0.096 0.750 0.501 1
O1 O 0.091 0.750 0.001 1
```